VASP calculation (GGA-PBE) on crystalline Cu2ReBr at its relaxed geometry.

## Properties
Size of the total moment, μB/f.u.: 0.00
Formation energy (no corrections), eV/atom: 0.809
Distance to the lowest polymorph of the same formula, meV/atom: 251
Mass density, g cm⁻³: 10.331
Total DFT energy (no corrections), eV per atom: -4.77

The structure in extended XYZ format:
```
4
Lattice="2.849 0.002 0.000 -1.376 2.495 0.000 0.000 0.000 8.890" Properties=species:S:1:pos:R:3 pbc="T T T"
Br 0.737 1.248 6.609
Cu 0.737 1.248 2.190
Cu 0.000 0.000 0.218
Re 0.000 0.000 4.319
```



VASP calculation (GGA-PBE) on crystalline Cu2ReBr at its relaxed geometry.

## Properties
Size of the total moment, μB/f.u.: 0.00
Formation energy (no corrections), eV/atom: 0.657
Distance to the lowest polymorph of the same formula, meV/atom: 98
Mass density, g cm⁻³: 8.938
Total DFT energy (no corrections), eV per atom: -4.92

The structure in extended XYZ format:
```
4
Lattice="-4.933 -4.243 2.052 -0.909 -4.724 4.838 1.481 6.200 -2.433" Properties=species:S:1:pos:R:3 pbc="T T T"
Cu -0.255 -0.391 0.301
Br -1.569 -2.109 3.391
Cu -2.636 -0.418 0.883
Re -2.822 -4.332 3.329
```



VASP calculation (GGA-PBE) on crystalline CuReBr2 at its relaxed geometry.

## Properties
Size of the total moment, μB/f.u.: 4.18
Formation energy (no corrections), eV/atom: 1.468
Distance to the lowest polymorph of the same formula, meV/atom: 1084
Mass density, g cm⁻³: 8.276
Total DFT energy (no corrections), eV per atom: -3.50

The structure in extended XYZ format:
```
4
Lattice="4.880 0.000 0.000 2.440 4.226 0.000 2.440 1.409 3.985" Properties=species:S:1:pos:R:3 pbc="T T T"
Br 2.440 1.409 0.996
Cu 4.880 2.817 1.992
Re 7.320 4.226 2.988
Br 0.000 0.000 0.000
```



VASP calculation (GGA-PBE) on crystalline CuRe3Br at its relaxed geometry.

## Properties
Size of the total moment, μB/f.u.: 0.51
Formation energy (no corrections), eV/atom: 2.473
Distance to the lowest polymorph of the same formula, meV/atom: 0
Mass density, g cm⁻³: 12.562
Total DFT energy (no corrections), eV per atom: -6.15

The structure in extended XYZ format:
```
5
Lattice="4.527 0.000 0.000 0.000 4.527 0.000 0.000 0.000 4.527" Properties=species:S:1:pos:R:3 pbc="T T T"
Re 2.264 0.000 0.000
Re 0.000 2.264 0.000
Br 0.000 0.000 0.000
Re 0.000 0.000 2.264
Cu 2.264 2.264 2.264
```



VASP calculation (GGA-PBE) on crystalline CuRe2Br at its relaxed geometry.

## Properties
Size of the total moment, μB/f.u.: 0.00
Formation energy (no corrections), eV/atom: 1.010
Distance to the lowest polymorph of the same formula, meV/atom: 543
Mass density, g cm⁻³: 13.871
Total DFT energy (no corrections), eV per atom: -6.66

The structure in extended XYZ format:
```
4
Lattice="-2.122 -0.540 -4.194 -0.884 -3.040 -3.516 -4.313 -1.755 1.402" Properties=species:S:1:pos:R:3 pbc="T T T"
Cu -1.830 -1.334 -1.577
Re -3.600 -2.661 -3.237
Re -3.065 -3.587 -7.627
Br -5.489 -4.001 -4.731
```



VASP calculation (GGA-PBE) on crystalline CuRe2Br at its relaxed geometry.

## Properties
Size of the total moment, μB/f.u.: 0.00
Formation energy (no corrections), eV/atom: 1.320
Distance to the lowest polymorph of the same formula, meV/atom: 853
Mass density, g cm⁻³: 14.554
Total DFT energy (no corrections), eV per atom: -6.35

The structure in extended XYZ format:
```
4
Lattice="4.415 0.000 0.000 0.000 4.415 0.000 0.000 0.000 3.019" Properties=species:S:1:pos:R:3 pbc="T T T"
Cu 0.000 2.208 1.510
Re 2.208 2.208 0.000
Br 2.208 0.000 1.510
Re 0.000 0.000 0.000
```



VASP calculation (GGA-PBE) on crystalline CuReBr at its relaxed geometry.

## Properties
Size of the total moment, μB/f.u.: 0.71
Formation energy (no corrections), eV/atom: 0.975
Distance to the lowest polymorph of the same formula, meV/atom: 177
Mass density, g cm⁻³: 10.685
Total DFT energy (no corrections), eV per atom: -5.10

The structure in extended XYZ format:
```
3
Lattice="7.135 -0.053 0.033 6.189 2.804 0.007 0.946 -1.323 2.533" Properties=species:S:1:pos:R:3 pbc="T T T"
Re 9.234 1.405 0.863
Br 1.013 -1.300 2.520
Cu 4.968 0.001 1.723
```



VASP calculation (GGA-PBE) on crystalline CuReBr2 at its relaxed geometry.

## Properties
Size of the total moment, μB/f.u.: 0.00
Formation energy (no corrections), eV/atom: 1.160
Distance to the lowest polymorph of the same formula, meV/atom: 776
Mass density, g cm⁻³: 9.816
Total DFT energy (no corrections), eV per atom: -3.81

The structure in extended XYZ format:
```
4
Lattice="4.704 0.000 0.000 0.000 4.704 0.000 0.000 0.000 3.131" Properties=species:S:1:pos:R:3 pbc="T T T"
Br 2.352 2.352 0.000
Re 0.000 2.352 1.565
Br 0.000 0.000 0.000
Cu 2.352 0.000 1.565
```



VASP calculation (GGA-PBE) on crystalline CuReBr2 at its relaxed geometry.

## Properties
Size of the total moment, μB/f.u.: 0.00
Formation energy (no corrections), eV/atom: 0.877
Distance to the lowest polymorph of the same formula, meV/atom: 493
Mass density, g cm⁻³: 9.141
Total DFT energy (no corrections), eV per atom: -4.10

The structure in extended XYZ format:
```
4
Lattice="-2.421 -3.860 -7.632 -4.438 -5.231 -5.652 -5.102 -2.411 -6.867" Properties=species:S:1:pos:R:3 pbc="T T T"
Br -0.105 -0.101 -0.176
Re -8.971 -8.626 -15.113
Cu -2.990 -2.875 -5.038
Br -5.876 -5.650 -9.899
```



VASP calculation (GGA-PBE) on crystalline Cu2ReBr at its relaxed geometry.

## Properties
Size of the total moment, μB/f.u.: 2.19
Formation energy (no corrections), eV/atom: 1.125
Distance to the lowest polymorph of the same formula, meV/atom: 567
Mass density, g cm⁻³: 9.908
Total DFT energy (no corrections), eV per atom: -4.45

The structure in extended XYZ format:
```
8
Lattice="7.136 0.000 0.000 0.000 7.136 0.000 3.568 3.568 2.589" Properties=species:S:1:pos:R:3 pbc="T T T"
Re 7.136 3.568 1.294
Br 3.568 3.568 0.000
Cu 5.352 5.344 1.941
Br 3.568 7.136 1.294
Cu 1.776 5.352 0.647
Cu 5.360 1.784 0.647
Cu 8.920 8.927 1.941
Re 0.000 0.000 0.000
```



VASP calculation (GGA-PBE) on crystalline CuRe2Br at its relaxed geometry.

## Properties
Size of the total moment, μB/f.u.: 0.00
Formation energy (no corrections), eV/atom: 1.115
Distance to the lowest polymorph of the same formula, meV/atom: 649
Mass density, g cm⁻³: 12.163
Total DFT energy (no corrections), eV per atom: -6.55

The structure in extended XYZ format:
```
8
Lattice="3.808 0.000 0.000 0.000 3.808 0.000 1.904 1.904 9.712" Properties=species:S:1:pos:R:3 pbc="T T T"
Re 2.634 0.952 2.428
Re 1.174 2.856 2.428
Br 0.000 0.000 0.000
Re 4.760 4.538 7.284
Cu 1.904 1.904 0.000
Re 2.856 3.079 7.284
Cu 1.904 3.808 4.856
Br 3.808 1.904 4.856
```



VASP calculation (GGA-PBE) on crystalline Cu2ReBr at its relaxed geometry.

## Properties
Size of the total moment, μB/f.u.: 3.47
Formation energy (no corrections), eV/atom: 1.364
Distance to the lowest polymorph of the same formula, meV/atom: 806
Mass density, g cm⁻³: 9.899
Total DFT energy (no corrections), eV per atom: -4.21

The structure in extended XYZ format:
```
4
Lattice="0.000 3.207 3.207 3.207 0.000 3.207 3.207 3.207 0.000" Properties=species:S:1:pos:R:3 pbc="T T T"
Cu 4.810 4.810 4.810
Br 0.000 0.000 0.000
Cu 1.603 1.603 1.603
Re 3.207 3.207 3.207
```



Which value of total DFT energy (no corrections) does entry 11 give? -6.55 eV per atom



What is the distance to the lowest polymorph of the same formula in the fifth record? 543 meV/atom



Among the records above, which one has the highest size of the total moment? number 3